#one
# Pm5NdSm4, optimized geometry, DFT GGA-PBE
data_Pm5NdSm4
_space_group_name_H-M_alt 'C 1 2/m 1'
_space_group_IT_number 12
_cell_length_a 28.737
_cell_length_b 3.504
_cell_length_c 6.928
_cell_angle_alpha 90.00
_cell_angle_beta 97.31
_cell_angle_gamma 90.00
loop_
_space_group_symop_operation_xyz
'x,y,z'
'-x,-y,-z'
'-x,y,-z'
'x,-y,z'
'x+1/2,y+1/2,z'
'-x+1/2,-y+1/2,-z'
'-x+1/2,y+1/2,-z'
'x+1/2,-y+1/2,z'
loop_
_atom_site_label
_atom_site_type_symbol
_atom_site_fract_x
_atom_site_fract_y
_atom_site_fract_z
_atom_site_occupancy
Pm1 Pm 0.000 0.000 0.000 1
Pm2 Pm 0.201 0.500 0.100 1
Pm3 Pm 0.206 0.500 0.603 1
Nd1 Nd 0.000 0.000 0.500 1
Sm1 Sm 0.094 0.500 0.800 1
Sm2 Sm 0.108 0.000 0.308 1
# * crystal system: monoclinic

---

#two
# Pm5NdSm4, optimized geometry, DFT GGA-PBE
data_Pm5NdSm4
_space_group_name_H-M_alt 'I 4 m m'
_space_group_IT_number 107
_space_group_name_Hall 'I 4 -2'
_cell_length_a 10.620
_cell_length_b 10.620
_cell_length_c 6.200
_cell_angle_alpha 90.00
_cell_angle_beta 90.00
_cell_angle_gamma 90.00
loop_
_atom_site_label
_atom_site_type_symbol
_atom_site_fract_x
_atom_site_fract_y
_atom_site_fract_z
_atom_site_occupancy
Pm1 Pm 0.000 0.000 0.000 1
Pm2 Pm 0.189 0.189 0.266 1
Nd1 Nd 0.000 0.000 0.535 1
Sm1 Sm 0.000 0.326 0.774 1
# * crystal system: tetragonal

---

#one wins, 103 meV/atom ahead of the next structure.